No. 1
A relaxed structure of TlAu17. Source: OQMD via LeMat-Bulk, functional GGA-PBE.

Output
- DFT total energy (eV for the cell shown) = -228.42
- V (A^3/atom) = 23.192
- symmetry = Pm, No. 6

Lattice parameters (Å, degrees): 5.789 10.080 28.616 90.71 90.00 90.00
Fractional positions:
Au 0.250 0.913 0.158
Au 0.750 0.913 0.158
Au 0.750 0.414 0.158
Au 0.250 0.414 0.158
Au 0.000 0.663 0.159
Au 0.000 0.163 0.159
Au 0.500 0.829 0.242
Au 0.500 0.329 0.242
Au 0.747 0.581 0.243
Au 0.253 0.581 0.243
Au 0.747 0.081 0.243
Au 0.253 0.081 0.243
Au 0.000 0.329 0.244
Au 0.000 0.830 0.244
Au 0.749 0.748 0.329
Au 0.251 0.748 0.329
Au 0.749 0.248 0.329
Au 0.250 0.248 0.329
Au 0.000 0.497 0.329
Au 0.000 0.997 0.329
Au 0.500 0.498 0.329
Au 0.500 0.997 0.329
Au 0.000 0.165 0.414
Au 0.000 0.665 0.414
Au 0.500 0.665 0.414
Au 0.500 0.165 0.414
Au 0.750 0.415 0.414
Au 0.250 0.415 0.414
Au 0.250 0.915 0.415
Au 0.750 0.915 0.415
Au 0.500 0.333 0.500
Au 0.000 0.332 0.500
Au 0.249 0.583 0.500
Au 0.751 0.583 0.500
Au 0.250 0.082 0.500
Au 0.750 0.082 0.500
Au 0.500 0.832 0.500
Au 0.000 0.832 0.500
Au 0.750 0.250 0.585
Au 0.250 0.250 0.585
Au 0.000 0.500 0.586
Au 0.500 0.501 0.586
Au 0.500 0.001 0.586
Au 0.250 0.751 0.586
Au 0.750 0.751 0.586
Au 0.000 0.000 0.586
Au 0.749 0.418 0.671
Au 0.251 0.418 0.671
Au 0.000 0.669 0.671
Au 0.500 0.168 0.671
Au 0.000 0.168 0.671
Au 0.500 0.670 0.672
Au 0.251 0.919 0.672
Au 0.749 0.919 0.672
Au 0.000 0.336 0.755
Au 0.750 0.588 0.756
Au 0.250 0.588 0.756
Au 0.500 0.336 0.756
Au 0.000 0.839 0.757
Au 0.252 0.086 0.759
Au 0.748 0.086 0.759
Au 0.500 0.842 0.760
Au 0.746 0.259 0.842
Au 0.254 0.259 0.842
Au 0.747 0.750 0.843
Au 0.253 0.750 0.843
Au 0.000 0.504 0.843
Au 0.500 0.505 0.844
Tl 0.500 0.663 0.120
Tl 0.500 0.163 0.122
Tl 0.000 0.005 0.852
Tl 0.500 0.007 0.892

***

No. 2
A relaxed structure of TlAu9. Source: OQMD via LeMat-Bulk, functional GGA-PBE.

Output
- DFT total energy (eV for the cell shown) = -62.99
- V (A^3/atom) = 23.670
- symmetry = P4/nmm, No. 129

Lattice parameters (Å, degrees): 2.999 2.999 52.644 90.00 90.00 90.00
Fractional positions:
Au 0.500 0.000 0.177
Au 0.000 0.500 0.216
Au 0.500 0.000 0.255
Au 0.000 0.500 0.293
Au 0.500 0.000 0.331
Au 0.000 0.500 0.369
Au 0.500 0.000 0.406
Au 0.000 0.500 0.444
Au 0.500 0.000 0.481
Au 0.000 0.500 0.519
Au 0.500 0.000 0.556
Au 0.000 0.500 0.594
Au 0.500 0.000 0.631
Au 0.000 0.500 0.669
Au 0.500 0.000 0.707
Au 0.000 0.500 0.745
Au 0.500 0.000 0.784
Au 0.000 0.500 0.823
Tl 0.000 0.500 0.130
Tl 0.500 0.000 0.870

***

No. 3
A relaxed structure of Tl7Au3. Source: OQMD via LeMat-Bulk, functional GGA-PBE.

Output
- DFT total energy (eV for the cell shown) = -52.70
- V (A^3/atom) = 26.027
- symmetry = P6_3mc, No. 186

Lattice parameters (Å, degrees): 9.663 9.663 6.439 90.00 90.00 120.02
Fractional positions:
Au 0.200 0.400 0.093
Au 0.600 0.800 0.093
Au 0.200 0.800 0.094
Au 0.400 0.200 0.593
Au 0.800 0.600 0.593
Au 0.800 0.200 0.594
Tl 0.239 0.120 0.003
Tl 0.880 0.761 0.003
Tl 0.881 0.119 0.003
Tl 0.538 0.462 0.278
Tl 0.538 0.075 0.278
Tl 0.925 0.462 0.278
Tl 0.333 0.667 0.388
Tl 0.120 0.239 0.503
Tl 0.761 0.880 0.503
Tl 0.119 0.881 0.503
Tl 0.462 0.538 0.778
Tl 0.075 0.538 0.778
Tl 0.462 0.925 0.778
Tl 0.667 0.333 0.888

***

No. 4
A relaxed structure of Tl2Au. Source: OQMD via LeMat-Bulk, functional GGA-PBE.

Output
- DFT total energy (eV for the cell shown) = -13.77
- V (A^3/atom) = 27.816
- symmetry = Fd-3m, No. 227

Lattice parameters (Å, degrees): 6.180 6.180 6.180 60.00 60.00 60.00
Fractional positions:
Au 0.000 0.000 0.000
Au 0.250 0.250 0.250
Tl 0.625 0.625 0.125
Tl 0.625 0.125 0.625
Tl 0.125 0.625 0.625
Tl 0.625 0.625 0.625

***

No. 5
A relaxed structure of Tl2Au. Source: OQMD via LeMat-Bulk, functional GGA-PBE.

Output
- DFT total energy (eV for the cell shown) = -63.96
- V (A^3/atom) = 28.236
- symmetry = Pma2, No. 28

Lattice parameters (Å, degrees): 16.864 9.125 4.404 90.00 90.00 90.00
Fractional positions:
Au 0.250 0.174 0.010
Au 0.750 0.826 0.010
Au 0.000 0.500 0.027
Au 0.500 0.500 0.027
Au 0.634 0.166 0.507
Au 0.866 0.166 0.507
Au 0.134 0.834 0.507
Au 0.366 0.834 0.507
Tl 0.750 0.149 0.006
Tl 0.250 0.851 0.006
Tl 0.518 0.177 0.008
Tl 0.982 0.177 0.008
Tl 0.018 0.823 0.008
Tl 0.482 0.823 0.008
Tl 0.250 0.490 0.026
Tl 0.750 0.510 0.026
Tl 0.133 0.154 0.510
Tl 0.367 0.154 0.510
Tl 0.633 0.846 0.510
Tl 0.867 0.846 0.510
Tl 0.611 0.484 0.526
Tl 0.889 0.484 0.526
Tl 0.111 0.516 0.526
Tl 0.389 0.516 0.526

***

No. 6
A relaxed structure of TlAu9. Source: OQMD via LeMat-Bulk, functional GGA-PBE.

Output
- DFT total energy (eV for the cell shown) = -63.15
- V (A^3/atom) = 22.989
- symmetry = Pmmn, No. 59

Lattice parameters (Å, degrees): 2.998 3.915 39.166 90.00 90.00 90.00
Fractional positions:
Au 0.500 0.500 0.167
Au 0.000 0.000 0.206
Au 0.500 0.500 0.246
Au 0.000 0.000 0.285
Au 0.500 0.500 0.324
Au 0.000 0.000 0.363
Au 0.500 0.500 0.402
Au 0.000 0.000 0.441
Au 0.500 0.500 0.480
Au 0.000 0.000 0.520
Au 0.500 0.500 0.559
Au 0.000 0.000 0.598
Au 0.500 0.500 0.637
Au 0.000 0.000 0.676
Au 0.500 0.500 0.715
Au 0.000 0.000 0.754
Au 0.500 0.500 0.794
Au 0.000 0.000 0.833
Tl 0.000 0.000 0.117
Tl 0.500 0.500 0.883

***

No. 7
A relaxed structure of Tl5Au. Source: OQMD via LeMat-Bulk, functional GGA-PBE.

Output
- DFT total energy (eV for the cell shown) = -59.28
- V (A^3/atom) = 28.689
- symmetry = I-42d, No. 122

Lattice parameters (Å, degrees): 11.036 11.036 11.036 94.42 94.42 147.78
Fractional positions:
Au 0.283 0.625 0.158
Au 0.875 0.717 0.342
Au 0.375 0.533 0.658
Au 0.467 0.125 0.842
Tl 0.375 0.940 0.065
Tl 0.686 0.471 0.066
Tl 0.940 0.117 0.124
Tl 0.184 0.060 0.177
Tl 0.529 0.595 0.215
Tl 0.064 0.631 0.285
Tl 0.757 0.133 0.323
Tl 0.566 0.243 0.376
Tl 0.369 0.655 0.434
Tl 0.060 0.125 0.435
Tl 0.690 0.625 0.565
Tl 0.221 0.936 0.566
Tl 0.867 0.190 0.624
Tl 0.810 0.434 0.677
Tl 0.345 0.779 0.715
Tl 0.381 0.314 0.785
Tl 0.883 0.007 0.823
Tl 0.993 0.816 0.876
Tl 0.405 0.619 0.934
Tl 0.875 0.310 0.935

***

No. 8
A relaxed structure of Tl2Au. Source: OQMD via LeMat-Bulk, functional GGA-PBE.

Output
- DFT total energy (eV for the cell shown) = -63.83
- V (A^3/atom) = 26.970
- symmetry = Pba2, No. 32

Lattice parameters (Å, degrees): 7.711 9.164 9.160 90.00 90.01 90.00
Fractional positions:
Au 0.733 0.999 0.001
Au 0.267 0.250 0.248
Au 0.267 0.750 0.248
Au 0.733 0.501 0.495
Au 0.733 0.001 0.501
Au 0.267 0.750 0.748
Au 0.267 0.250 0.748
Au 0.733 0.499 0.995
Tl 0.000 0.500 0.247
Tl 0.642 0.750 0.248
Tl 0.642 0.250 0.248
Tl 0.000 0.000 0.249
Tl 0.358 0.500 0.498
Tl 0.000 0.251 0.498
Tl 0.000 0.751 0.498
Tl 0.358 0.000 0.498
Tl 0.000 0.500 0.747
Tl 0.642 0.250 0.748
Tl 0.642 0.750 0.748
Tl 0.000 0.000 0.749
Tl 0.358 0.500 0.998
Tl 0.000 0.749 0.998
Tl 0.000 0.249 0.998
Tl 0.358 0.000 0.998

***

No. 9
A relaxed structure of TlAu17. Source: OQMD via LeMat-Bulk, functional GGA-PBE.

Output
- DFT total energy (eV for the cell shown) = -114.60
- V (A^3/atom) = 25.711
- symmetry = P-3m1, No. 164

Lattice parameters (Å, degrees): 5.787 5.787 31.913 90.00 90.00 120.00
Fractional positions:
Au 0.500 0.001 0.191
Au 0.500 0.500 0.191
Au 0.999 0.500 0.191
Au 0.333 0.667 0.268
Au 0.330 0.165 0.269
Au 0.835 0.165 0.269
Au 0.835 0.670 0.269
Au 0.167 0.334 0.346
Au 0.167 0.833 0.346
Au 0.666 0.833 0.346
Au 0.667 0.333 0.347
Au 0.000 0.000 0.422
Au 0.000 0.500 0.423
Au 0.500 0.500 0.423
Au 0.500 0.000 0.423
Au 0.333 0.167 0.500
Au 0.833 0.167 0.500
Au 0.833 0.667 0.500
Au 0.333 0.667 0.500
Au 0.167 0.334 0.577
Au 0.167 0.833 0.577
Au 0.666 0.833 0.577
Au 0.667 0.333 0.578
Au 0.000 0.000 0.653
Au 0.001 0.500 0.654
Au 0.500 0.500 0.654
Au 0.500 0.999 0.654
Au 0.336 0.168 0.731
Au 0.832 0.168 0.731
Au 0.832 0.664 0.731
Au 0.333 0.667 0.732
Au 0.166 0.332 0.809
Au 0.166 0.834 0.809
Au 0.668 0.834 0.809
Tl 0.000 0.000 0.160
Tl 0.667 0.333 0.840

***

No. 10
A relaxed structure of TlAu8. Source: OQMD via LeMat-Bulk, functional GGA-PBE.

Output
- DFT total energy (eV for the cell shown) = -56.41
- V (A^3/atom) = 29.434
- symmetry = C2/m, No. 12

Lattice parameters (Å, degrees): 4.952 4.952 28.981 90.20 90.20 48.21
Fractional positions:
Au 0.250 0.250 0.247
Au 0.551 0.551 0.279
Au 0.850 0.850 0.314
Au 0.148 0.148 0.348
Au 0.449 0.449 0.382
Au 0.750 0.750 0.415
Au 0.051 0.051 0.450
Au 0.350 0.350 0.483
Au 0.650 0.650 0.517
Au 0.949 0.949 0.550
Au 0.250 0.250 0.585
Au 0.551 0.551 0.618
Au 0.852 0.852 0.652
Au 0.150 0.150 0.686
Au 0.449 0.449 0.721
Au 0.750 0.750 0.753
Tl 0.947 0.947 0.197
Tl 0.053 0.053 0.803

***

No. 11
A relaxed structure of Tl3Au. Source: OQMD via LeMat-Bulk, functional GGA-PBE.

Output
- DFT total energy (eV for the cell shown) = -20.14
- V (A^3/atom) = 26.401
- symmetry = Pm-3n, No. 223

Lattice parameters (Å, degrees): 5.955 5.955 5.955 90.00 90.00 90.00
Fractional positions:
Au 0.000 0.000 0.000
Au 0.500 0.500 0.500
Tl 0.500 0.250 0.000
Tl 0.500 0.750 0.000
Tl 0.000 0.500 0.250
Tl 0.250 0.000 0.500
Tl 0.750 0.000 0.500
Tl 0.000 0.500 0.750

***

No. 12
A relaxed structure of TlWAu2. Source: OQMD via LeMat-Bulk, functional GGA-PBE.

Output
- DFT total energy (eV for the cell shown) = -18.56
- total magnetization (μB/cell) = 1.89
- V (A^3/atom) = 18.769
- symmetry = F-43m, No. 216

Lattice parameters (Å, degrees): 4.735 4.735 4.735 60.00 60.00 60.00
Fractional positions:
Au 0.000 0.000 0.000
Au 0.750 0.750 0.750
Tl 0.500 0.500 0.500
W 0.250 0.250 0.250